--- 1 ---
Here is a relaxed structure of GdErTe from the Alexandria database. Energies are from GGA-PBE.

Lattice parameters (Å, degrees): 3.866 3.866 11.590 90.00 90.00 90.00
Sites, in units of the cell vectors:
1 Gd 0.000 0.000 0.000
2 Gd 0.500 0.500 0.500
3 Er 0.000 0.000 0.310
4 Er 0.500 0.500 0.810
5 Te 0.000 0.000 0.663
6 Te 0.500 0.500 0.163

Values from the calculation:
The calculation puts the density of states at the Fermi level at 2.3 states/eV/f.u. The density comes out at 8666 kg/m³. The space group is No. 107.



--- 2 ---
Here is a relaxed structure of GdErTe from the Alexandria database. Energies are from GGA-PBE.

Lattice parameters (Å, degrees): 5.154 5.154 3.976 90.00 90.00 120.00
Sites, in units of the cell vectors:
1 Gd 0.000 0.000 0.000
2 Er 0.333 0.667 0.494
3 Te 0.667 0.333 0.311

Values from the calculation:
The calculation puts the density of states at the Fermi level at 3.3 states/eV/f.u. The density comes out at 8208 kg/m³. The space group is No. 156.



Bottom line: 1, by a margin of 27.3 kJ/mol of atoms.